Material: Ho4TmSb2
Method: DFT, PBE-GGA
State: optimized geometry

Lattice parameters (Å, degrees): 8.9497 8.9497 7.0289 105.12 105.12 120.18
With the nearest neighbours (Å) after each atom.
Atoms (fractional coordinates):
Ho  0.0369  0.9631  0.5000  3 Sb 3.10-3.44, 1 Ho 3.28, 1 Tm 3.30
Ho  0.0804  0.3581  0.5400  4 Sb 3.00-3.28, 1 Ho 3.28
Ho  0.1247  0.6244  0.1140  3 Sb 3.09-3.14
Ho  0.3581  0.0804  0.0400  4 Sb 3.00-3.28, 1 Ho 3.28
Ho  0.5459  0.6800  0.4793  3 Sb 3.06-3.20, 1 Tm 3.36
Ho  0.6244  0.1247  0.6140  3 Sb 3.09-3.14
Ho  0.6800  0.5459  0.9793  3 Sb 3.06-3.20, 1 Tm 3.36
Ho  0.9631  0.0369  0.0000  3 Sb 3.10-3.44, 1 Ho 3.28, 1 Tm 3.30
Tm  0.5809  0.8647  0.0918  3 Sb 3.15-3.38, 3 Ho 3.30-3.42
Tm  0.8647  0.5809  0.5918  3 Sb 3.15-3.38, 3 Ho 3.30-3.42
Sb  0.2831  0.3921  0.9803  6 Ho 3.00-3.28
Sb  0.2846  0.7815  0.6247  5 Ho 3.04-3.20, 2 Tm 3.15-3.25
Sb  0.3921  0.2831  0.4803  6 Ho 3.00-3.28
Sb  0.7815  0.2846  0.1247  5 Ho 3.04-3.20, 2 Tm 3.15-3.25

Properties
* raw total energy: -34.707 eV/f.u.
* ρ: 8.6 g/cm³
* symmetry: Cc
* uncorrected formation energy: -0.5257 eV per atom


Material: HoTm2Sb3
Method: DFT, PBE-GGA
State: optimized geometry

Lattice parameters (Å, degrees): 7.5298 7.5298 7.5298 146.44 131.84 59.98
With the nearest neighbours (Å) after each atom.
Atoms (fractional coordinates):
Ho  0.0000  0.0000  0.0000  6 Sb 3.07-3.09
Tm  0.3338  0.3338  0.0000  6 Sb 3.07
Tm  0.6662  0.6662  0.0000  6 Sb 3.07
Sb  0.1680  0.6680  0.5000  4 Tm 3.07, 2 Ho 3.09
Sb  0.5000  0.0000  0.5000  4 Tm 3.07, 2 Ho 3.07
Sb  0.8320  0.3320  0.5000  4 Tm 3.07, 2 Ho 3.09

Properties
* raw total energy: -32.385 eV/f.u.
* ρ: 8.3 g/cm³
* symmetry: Immm
* uncorrected formation energy: -1.0829 eV per atom


Material: Ho4TmSb5
Method: DFT, PBE-GGA
State: optimized geometry

Lattice parameters (Å, degrees): 15.7215 15.7215 15.7215 164.06 164.06 22.62
With the nearest neighbours (Å) after each atom.
Atoms (fractional coordinates):
Ho  0.0999  0.0999  0.0000  6 Sb 3.08-3.09
Ho  0.3003  0.3003  0.0000  6 Sb 3.08-3.09
Ho  0.6997  0.6997  0.0000  6 Sb 3.08-3.09
Ho  0.9001  0.9001  0.0000  6 Sb 3.08-3.09
Tm  0.5000  0.5000  0.0000  6 Sb 3.07-3.08
Sb  0.0000  0.0000  0.0000  2 Ho 3.08, 4 Tm 3.08
Sb  0.2000  0.2000  0.0000  6 Ho 3.08-3.09
Sb  0.4005  0.4005  0.0000  1 Tm 3.07, 5 Ho 3.08-3.09
Sb  0.5995  0.5995  0.0000  1 Tm 3.07, 5 Ho 3.08-3.09
Sb  0.8000  0.8000  0.0000  6 Ho 3.08-3.09

Properties
* raw total energy: -54.451 eV/f.u.
* ρ: 8.1 g/cm³
* symmetry: I4/mmm
* uncorrected formation energy: -1.1056 eV per atom